(1)
## RbZnGe2 (PBE)

Data for a relaxed RbZnGe2 crystal.

Computed properties:
mass density = 3.96 g/cm³
magnetization = 0.00 μB/f.u.
E_tot = -2.75 eV/atom

Cell lengths 5.327, 5.327, 9.525 Å; angles 73.76, 73.76, 90.00 degrees
Positions (direct):
Ge 0.375 0.125 0.250
Ge 0.375 0.625 0.250
Ge 0.375 0.625 0.750
Ge 0.875 0.625 0.750
Zn 0.500 0.500 0.000
Zn 0.250 0.750 0.500
Rb 0.000 0.000 0.000
Rb 0.750 0.250 0.500

---

(2)
## RbZnGe3 (PBE)

Data for a relaxed RbZnGe3 crystal.

Computed properties:
mass density = 4.60 g/cm³
magnetization = 0.00 μB/f.u.
E_tot = -2.80 eV/atom

Cell lengths 5.105, 5.105, 5.105 Å; angles 90.00, 90.00, 90.00 degrees
Positions (direct):
Ge 0.000 0.500 0.000
Ge 0.000 0.000 0.500
Ge 0.500 0.000 0.000
Zn 0.000 0.000 0.000
Rb 0.500 0.500 0.500

---

(3)
## Rb2ZnGe2 (PBE)

Data for a relaxed Rb2ZnGe2 crystal.

Computed properties:
mass density = 3.18 g/cm³
magnetization = 0.00 μB/f.u.
E_tot = -2.32 eV/atom

Cell lengths 8.847, 8.847, 5.098 Å; angles 90.00, 90.00, 90.00 degrees
Positions (direct):
Ge 0.409 0.909 0.000
Ge 0.909 0.591 0.000
Ge 0.591 0.091 0.000
Ge 0.091 0.409 0.000
Zn 0.000 0.000 0.000
Zn 0.500 0.500 0.000
Rb 0.200 0.700 0.500
Rb 0.700 0.800 0.500
Rb 0.800 0.300 0.500
Rb 0.300 0.200 0.500

---

(4)
## Rb3ZnGe4 (PBE)

Data for a relaxed Rb3ZnGe4 crystal.

Computed properties:
mass density = 3.78 g/cm³
magnetization = 0.00 μB/f.u.
E_tot = -2.98 eV/atom

Cell lengths 5.891, 6.975, 13.099 Å; angles 90.00, 90.00, 90.00 degrees
Positions (direct):
Zn 0.688 0.500 0.000
Zn 0.312 0.000 0.500
Ge 0.337 0.500 0.884
Ge 0.337 0.500 0.116
Ge 0.066 0.307 0.000
Ge 0.066 0.693 0.000
Ge 0.934 0.807 0.500
Ge 0.934 0.193 0.500
Ge 0.663 0.000 0.384
Ge 0.663 0.000 0.616
Rb 0.579 0.000 0.000
Rb 0.421 0.500 0.500
Rb 0.829 0.500 0.734
Rb 0.829 0.500 0.266
Rb 0.171 0.000 0.766
Rb 0.171 0.000 0.234

---

(5)
## RbZn3Ge (PBE)

Data for a relaxed RbZn3Ge crystal.

Computed properties:
mass density = 4.22 g/cm³
magnetization = 0.00 μB/f.u.
E_tot = -1.62 eV/atom

Cell lengths 5.186, 5.186, 5.186 Å; angles 90.00, 90.00, 90.00 degrees
Positions (direct):
Ge 0.000 0.000 0.000
Zn 0.000 0.500 0.000
Zn 0.000 0.000 0.500
Zn 0.500 0.000 0.000
Rb 0.500 0.500 0.500

---

(6)
## RbZn3Ge (PBE)

Data for a relaxed RbZn3Ge crystal.

Computed properties:
mass density = 2.11 g/cm³
magnetization = 2.95 μB/f.u.
E_tot = -0.70 eV/atom

Cell lengths 6.536, 6.536, 6.536 Å; angles 90.00, 90.00, 90.00 degrees
Each line ends with the local moment (μB).
Positions (direct):
Ge 0.500 0.500 0.500  0.79
Zn 0.000 0.500 0.000  0.04
Zn 0.000 0.000 0.500  0.03
Zn 0.500 0.000 0.000  0.04
Rb 0.000 0.000 0.000  0.01

---

(7)
## RbZnGe3 (PBE)

Data for a relaxed RbZnGe3 crystal.

Computed properties:
mass density = 3.09 g/cm³
magnetization = 0.00 μB/f.u.
E_tot = -1.45 eV/atom

Cell lengths 5.830, 5.830, 5.830 Å; angles 90.00, 90.00, 90.00 degrees
Positions (direct):
Ge 0.000 0.500 0.000
Ge 0.000 0.000 0.500
Ge 0.500 0.000 0.000
Zn 0.500 0.500 0.500
Rb 0.000 0.000 0.000

---

(8)
## RbZr2Ge (PBE)

Data for a relaxed RbZr2Ge crystal.

Computed properties:
mass density = 3.97 g/cm³
magnetization = 0.00 μB/f.u.
E_tot = -4.92 eV/atom

Cell lengths 5.380, 5.380, 10.544 Å; angles 75.22, 75.22, 90.00 degrees
Positions (direct):
Ge 0.500 0.500 0.000
Ge 0.250 0.750 0.500
Rb 0.000 0.000 0.000
Rb 0.750 0.250 0.500
Zr 0.404 0.125 0.250
Zr 0.346 0.625 0.250
Zr 0.375 0.596 0.750
Zr 0.875 0.654 0.750

---

Question: The lowest E_tot belongs to which entry?
Answer: RbZr2Ge

---

Question: The lowest E_tot belongs to which entry?
Answer: RbZr2Ge